Record 1
# AlP2RhCl

Crystalline AlP2RhCl at its relaxed geometry (GGA-PBEsol, the Alexandria database).

It has space group P4/mmm (No. 123), with a = 4.572 Å, b = 4.572 Å, c = 4.375 Å, α = 90.00°, β = 90.00° and γ = 90.00°. Symmetry generates all atoms from Al at (0.000, 0.000, 0.000), P at (0.000, 0.500, 0.000), Rh at (0.500, 0.500, 0.500) and Cl at (0.000, 0.000, 0.500).

=====

Record 2
# SrAlP2Cl

Crystalline SrAlP2Cl at its relaxed geometry (GGA-PBEsol, the Alexandria database).

It has space group P4/mmm (No. 123), with a = 5.578 Å, b = 5.578 Å, c = 5.379 Å, α = 90.00°, β = 90.00° and γ = 90.00°. Symmetry generates all atoms from Sr at (0.000, 0.000, 0.000), Al at (0.500, 0.500, 0.500), P at (0.000, 0.500, 0.000) and Cl at (0.000, 0.000, 0.500).

=====

Record 3
# TaAlPCl2

Crystalline TaAlPCl2 at its relaxed geometry (GGA-PBEsol, the Alexandria database).

It has space group P4/mmm (No. 123), with a = 4.797 Å, b = 4.797 Å, c = 4.879 Å, α = 90.00°, β = 90.00° and γ = 90.00°. Symmetry generates all atoms from Ta at (0.000, 0.000, 0.000), Al at (0.500, 0.500, 0.500), P at (0.000, 0.000, 0.500) and Cl at (0.000, 0.500, 0.000).

=====

Record 4
# TaAlP2Cl

Crystalline TaAlP2Cl at its relaxed geometry (GGA-PBEsol, the Alexandria database).

It has space group P4/mmm (No. 123), with a = 4.597 Å, b = 4.597 Å, c = 4.348 Å, α = 90.00°, β = 90.00° and γ = 90.00°. Symmetry generates all atoms from Ta at (0.000, 0.000, 0.000), Al at (0.500, 0.500, 0.500), P at (0.000, 0.500, 0.500) and Cl at (0.500, 0.500, 0.000).

=====

Record 5
# AlPb2Cl

Crystalline AlPb2Cl at its relaxed geometry (GGA-PBEsol, the Alexandria database).

It has space group R-3m (No. 166, hexagonal axes), with a = 3.4172 Å, b = 3.4172 Å, c = 29.5147 Å, α = 90.00°, β = 90.00° and γ = 120.00°. Symmetry generates all atoms from Al at (0.0000, 0.0000, 0.0000), Pb at (0.0000, 0.0000, 0.2471) and Cl at (0.0000, 0.0000, 0.5000).

=====

Record 6
# Al2PbCl

Crystalline Al2PbCl at its relaxed geometry (GGA-PBEsol, the Alexandria database).

It has space group P4mm (No. 99), with a = 3.124 Å, b = 3.124 Å, c = 8.917 Å, α = 90.00°, β = 90.00° and γ = 90.00°. Symmetry generates all atoms from Al at (0.000, 0.000, 0.000), Al at (0.500, 0.500, 0.204), Pb at (0.500, 0.500, 0.742) and Cl at (0.000, 0.000, 0.387).

=====

Record 7
# AlPb4Cl

Crystalline AlPb4Cl at its relaxed geometry (GGA-PBEsol, the Alexandria database).

It has space group F-43m (No. 216), with a = 8.915 Å, b = 8.915 Å, c = 8.915 Å, α = 90.00°, β = 90.00° and γ = 90.00°. Symmetry generates all atoms from Al at (0.000, 0.000, 0.000), Pb at (0.125, 0.125, 0.375) and Cl at (0.250, 0.250, 0.750).

=====

Record 8
# Al2PbCl

Crystalline Al2PbCl at its relaxed geometry (GGA-PBEsol, the Alexandria database).

It has space group F-43m (No. 216), with a = 7.036 Å, b = 7.036 Å, c = 7.036 Å, α = 90.00°, β = 90.00° and γ = 90.00°. Symmetry generates all atoms from Al at (0.000, 0.000, 0.000), Al at (0.250, 0.250, 0.250), Pb at (0.000, 0.000, 0.500) and Cl at (0.250, 0.250, 0.750).

=====

Record 9
# AlPb2Cl

Crystalline AlPb2Cl at its relaxed geometry (GGA-PBEsol, the Alexandria database).

It has space group P2/m (No. 10), with a = 3.442 Å, b = 3.442 Å, c = 8.271 Å, α = 90.00°, β = 90.35° and γ = 90.00°. Symmetry generates all atoms from Al at (0.000, 0.000, 0.000), Pb at (0.495, 0.500, 0.761) and Cl at (0.000, 0.000, 0.500).

=====

Record 10
# AlPb2Cl

Crystalline AlPb2Cl at its relaxed geometry (GGA-PBEsol, the Alexandria database).

It has space group I-4m2 (No. 119), with a = 4.173 Å, b = 4.173 Å, c = 12.135 Å, α = 90.00°, β = 90.00° and γ = 90.00°. Symmetry generates all atoms from Al at (0.000, 0.000, 0.000), Pb at (0.000, 0.000, 0.500), Pb at (0.000, 0.500, 0.750) and Cl at (0.000, 0.500, 0.250).

=====

Record 11
# Al2PbCl

Crystalline Al2PbCl at its relaxed geometry (GGA-PBEsol, the Alexandria database).

It has space group Pmmm (No. 47), with a = 3.247 Å, b = 4.751 Å, c = 5.887 Å, α = 90.00°, β = 90.00° and γ = 90.00°. Symmetry generates all atoms from Al at (0.000, 0.000, 0.234), Pb at (0.500, 0.500, 0.500) and Cl at (0.500, 0.500, 0.000).

=====

Record 12
# Al2PbCl

Crystalline Al2PbCl at its relaxed geometry (GGA-PBEsol, the Alexandria database).

It has space group Pmmm (No. 47), with a = 3.175 Å, b = 5.036 Å, c = 5.417 Å, α = 90.00°, β = 90.00° and γ = 90.00°. Symmetry generates all atoms from Al at (0.000, 0.000, 0.000), Al at (0.500, 0.500, 0.000), Pb at (0.000, 0.500, 0.500) and Cl at (0.500, 0.000, 0.500).

=====

Looking at calculated total energy for the records above, in order, we have -4.4174 -3.2729 -5.4145 -5.3384 -3.6213 -3.6793 -3.4664 -3.4410 -3.6930 -3.5244 -3.4559 -3.5744 eV/atom.
Looking at formation energy from raw total energies for the records above, in order, we have 0.747 0.632 -0.125 0.708 -0.097 -0.132 0.216 0.106 -0.169 0.000 0.092 -0.027 eV per atom.